1.
# MnIn2Te, PBEsol geometry, DFT SCAN
# **ΔE_f (raw)**: 175.5 meV per atom
data_MnIn2Te
_chemical_formula_sum 'Mn3 In6 Te3'
_symmetry_space_group_name_H-M 'R -3 m'
_symmetry_Int_Tables_number 166
_symmetry_space_group_name_Hall '-R 3 2"'
_cell_length_a 3.2492
_cell_length_b 3.2492
_cell_length_c 29.0327
_cell_angle_alpha 90.00
_cell_angle_beta 90.00
_cell_angle_gamma 120.00
loop_
_atom_site_label
_atom_site_type_symbol
_atom_site_fract_x
_atom_site_fract_y
_atom_site_fract_z
Mn1 Mn 0.0000 0.0000 0.0000
In1 In 0.0000 0.0000 0.2628
Te1 Te 0.0000 0.0000 0.5000

***

2.
# KAs2Pt, PBEsol geometry, DFT SCAN
# **Excess energy over the best structure of this formula in the dataset**: 0.01 eV/f.u.
# **Energy of formation from the pure elements**: -0.59 eV per atom
data_KAs2Pt
_chemical_formula_sum 'K2 As4 Pt2'
_symmetry_space_group_name_H-M 'C 1 m 1'
_symmetry_Int_Tables_number 8
_cell_length_a 7.139
_cell_length_b 3.885
_cell_length_c 7.228
_cell_angle_alpha 90.00
_cell_angle_beta 110.39
_cell_angle_gamma 90.00
loop_
_symmetry_equiv_pos_as_xyz
'x,y,z'
'x,-y,z'
'x+1/2,y+1/2,z'
'x+1/2,-y+1/2,z'
loop_
_atom_site_label
_atom_site_type_symbol
_atom_site_fract_x
_atom_site_fract_y
_atom_site_fract_z
K1 K 0.000 0.000 0.000
As1 As 0.061 0.500 0.664
As2 As 0.307 0.500 0.363
Pt1 Pt 0.186 0.000 0.518

***

3.
# Li2ScTa, PBEsol geometry, DFT SCAN
# **Excess energy over the best structure of this formula in the dataset**: 0.45 eV/f.u.
# **Energy of formation from the pure elements**: 0.54 eV per atom
data_Li2ScTa
_chemical_formula_sum 'Li2 Sc1 Ta1'
_symmetry_space_group_name_H-M 'P m m m'
_symmetry_Int_Tables_number 47
_cell_length_a 2.682
_cell_length_b 5.052
_cell_length_c 5.483
_cell_angle_alpha 90.00
_cell_angle_beta 90.00
_cell_angle_gamma 90.00
loop_
_symmetry_equiv_pos_as_xyz
'x,y,z'
'-x,-y,-z'
'-x,-y,z'
'x,y,-z'
'x,-y,-z'
'-x,y,z'
'-x,y,-z'
'x,-y,z'
loop_
_atom_site_label
_atom_site_type_symbol
_atom_site_fract_x
_atom_site_fract_y
_atom_site_fract_z
Li1 Li 0.000 0.000 0.229
Sc1 Sc 0.500 0.500 0.500
Ta1 Ta 0.500 0.500 0.000

***

Looking at V for the records above, in order, we have 265 188 74 Å³/cell.